(1)
The following is a PBE calculation of a relaxed Ba12HAu6 crystal, from Alexandria.

Results
**Space group**: No. 148

Lattice parameters (Å, degrees): 9.497 9.497 9.497 98.91 98.91 98.91
Atoms (fractional coordinates):
Ba: 0.576 0.178 0.419
Ba: 0.424 0.822 0.581
Ba: 0.038 0.686 0.920
Ba: 0.822 0.581 0.424
Ba: 0.178 0.419 0.576
Ba: 0.314 0.080 0.962
Ba: 0.686 0.920 0.038
Ba: 0.962 0.314 0.080
Ba: 0.419 0.576 0.178
Ba: 0.581 0.424 0.822
Ba: 0.080 0.962 0.314
Ba: 0.920 0.038 0.686
Au: 0.624 0.300 0.128
Au: 0.872 0.376 0.700
Au: 0.376 0.700 0.872
Au: 0.300 0.128 0.624
Au: 0.128 0.624 0.300
Au: 0.700 0.872 0.376
H: 0.000 0.000 0.000

---

(2)
The following is a PBE calculation of a relaxed PmNd2HoSe4 crystal, from Alexandria.

Results
**Space group**: No. 10
**Formation energy without anion corrections**: -174 kJ/mol of atoms

Lattice parameters (Å, degrees): 4.117 7.306 7.250 71.29 90.00 90.00
Atoms (fractional coordinates):
Se: 0.500 0.738 0.260
Se: 0.000 0.742 0.746
Se: 0.000 0.258 0.254
Se: 0.500 0.262 0.740
Ho: 0.000 0.500 0.500
Pm: 0.500 0.500 0.000
Nd: 0.500 0.000 0.500
Nd: 0.000 0.000 0.000

---

In the order shown, the computed energy values come out to -0.1067, -0.2171 hartree per atom.
In the order shown, the computed volume values come out to 43.3, 25.8 A^3/atom.